A plane-wave DFT calculation with PBE with a Hubbard U was carried out for NiSnB2O after structural relaxation.

Computed properties:
Raw total energy: -3.84 eV/atom
Symmetry: P4/mmm
Volume: 60.48 Å³/cell

Unit cell a=4.0104 b=4.0104 c=3.7608 alpha=90.00 beta=90.00 gamma=90.00
Sites, in units of the cell vectors:
Ni  0.0000  0.0000  0.0000
Sn  0.5000  0.5000  0.0000
B  0.0000  0.5000  0.5000
B  0.5000  0.0000  0.5000
O  0.0000  0.0000  0.5000



A plane-wave DFT calculation with PBE with a Hubbard U was carried out for NiSnBO2 after structural relaxation.

Computed properties:
Raw total energy: -4.44 eV/atom
Symmetry: P4/mmm
Volume: 76.11 Å³/cell

Unit cell a=3.2385 b=3.2385 c=7.2564 alpha=90.00 beta=90.00 gamma=90.00
Sites, in units of the cell vectors:
Ni  0.0000  0.0000  0.0000
Sn  0.5000  0.5000  0.0000
B  0.5000  0.5000  0.5000
O  0.0000  0.5000  0.5000
O  0.5000  0.0000  0.5000



A plane-wave DFT calculation with PBE with a Hubbard U was carried out for SrNi2B2O6 after structural relaxation.

Computed properties:
Raw total energy: -6.52 eV/atom
Symmetry: P-3
Volume: 143.81 Å³/cell

Unit cell a=5.1440 b=5.1440 c=6.2758 alpha=90.00 beta=90.00 gamma=120.00
Sites, in units of the cell vectors:
Sr  0.0000  0.0000  0.0000
Ni  0.3333  0.6667  0.3384
Ni  0.6667  0.3333  0.6616
B  0.3333  0.6667  0.7482
B  0.6667  0.3333  0.2518
O  0.0541  0.4087  0.7477
O  0.3546  0.9459  0.7477
O  0.4087  0.3546  0.2523
O  0.5913  0.6454  0.7477
O  0.6454  0.0541  0.2523
O  0.9459  0.5913  0.2523



A plane-wave DFT calculation with PBE with a Hubbard U was carried out for TbNi2B2O6 after structural relaxation.

Computed properties:
Raw total energy: -6.80 eV/atom
Symmetry: P-3
Volume: 133.31 Å³/cell

Unit cell a=5.0831 b=5.0831 c=5.9577 alpha=90.00 beta=90.00 gamma=120.00
Sites, in units of the cell vectors:
Tb  0.0000  0.0000  0.0000
Ni  0.3333  0.6667  0.3261
Ni  0.6667  0.3333  0.6739
B  0.3333  0.6667  0.7660
B  0.6667  0.3333  0.2340
O  0.0643  0.6742  0.7681
O  0.3258  0.3901  0.7681
O  0.3901  0.0643  0.2319
O  0.6099  0.9357  0.7681
O  0.6742  0.6099  0.2319
O  0.9357  0.3258  0.2319



A plane-wave DFT calculation with PBE with a Hubbard U was carried out for ThNi3B4O12 after structural relaxation.

Computed properties:
Raw total energy: -7.11 eV/atom
Symmetry: R32
Volume: 208.29 Å³/cell

Unit cell a=6.1342 b=6.1342 c=6.1342 alpha=103.39 beta=103.39 gamma=103.39
Sites, in units of the cell vectors:
Th  0.0000  0.0000  0.0000
Ni  0.0000  0.5555  0.4445
Ni  0.4445  0.0000  0.5555
Ni  0.5555  0.4445  0.0000
B  0.0559  0.5000  0.9441
B  0.5000  0.5000  0.5000
B  0.5000  0.9441  0.0559
B  0.9441  0.0559  0.5000
O  0.0341  0.6352  0.7937
O  0.0871  0.9129  0.5000
O  0.2063  0.3648  0.9659
O  0.3575  0.6425  0.5000
O  0.3648  0.9659  0.2063
O  0.5000  0.0871  0.9129
O  0.5000  0.3575  0.6425
O  0.6352  0.7937  0.0341
O  0.6425  0.5000  0.3575
O  0.7937  0.0341  0.6352
O  0.9129  0.5000  0.0871
O  0.9659  0.2063  0.3648



A plane-wave DFT calculation with PBE with a Hubbard U was carried out for ThNiBO5 after structural relaxation.

Computed properties:
Raw total energy: -7.55 eV/atom
Symmetry: C2/c
Volume: 171.86 Å³/cell

Unit cell a=5.3749 b=5.3749 c=6.4486 alpha=100.23 beta=100.23 gamma=105.26
Sites, in units of the cell vectors:
Th  0.1449  0.8551  0.7500
Th  0.8551  0.1449  0.2500
Ni  0.5000  0.5000  0.0000
Ni  0.5000  0.5000  0.5000
B  0.2010  0.7990  0.2500
B  0.7990  0.2010  0.7500
O  0.0473  0.2373  0.9199
O  0.1832  0.5813  0.3677
O  0.2373  0.0473  0.4199
O  0.4086  0.5914  0.7500
O  0.4187  0.8168  0.1323
O  0.5813  0.1832  0.8677
O  0.5914  0.4086  0.2500
O  0.7627  0.9527  0.5801
O  0.8168  0.4187  0.6323
O  0.9527  0.7627  0.0801



A plane-wave DFT calculation with PBE with a Hubbard U was carried out for TiNiBO2 after structural relaxation.

Computed properties:
Raw total energy: -5.64 eV/atom
Symmetry: P4/mmm
Volume: 75.30 Å³/cell

Unit cell a=3.6651 b=3.6651 c=5.6056 alpha=90.00 beta=90.00 gamma=90.00
Sites, in units of the cell vectors:
Ti  0.0000  0.0000  0.0000
Ni  0.0000  0.0000  0.5000
B  0.5000  0.5000  0.5000
O  0.0000  0.5000  0.0000
O  0.5000  0.0000  0.0000



A plane-wave DFT calculation with PBE with a Hubbard U was carried out for TlNiBO4 after structural relaxation.

Computed properties:
Raw total energy: -5.84 eV/atom
Symmetry: Cmcm
Volume: 142.75 Å³/cell

Unit cell a=5.0398 b=5.0398 c=6.2846 alpha=90.00 beta=90.00 gamma=116.59
Sites, in units of the cell vectors:
Tl  0.1780  0.8220  0.7500
Tl  0.8220  0.1780  0.2500
Ni  0.5000  0.5000  0.0000
Ni  0.5000  0.5000  0.5000
B  0.1554  0.8446  0.2500
B  0.8446  0.1554  0.7500
O  0.1819  0.2810  0.7500
O  0.2641  0.7359  0.0683
O  0.2641  0.7359  0.4317
O  0.2810  0.1819  0.2500
O  0.7190  0.8181  0.7500
O  0.7359  0.2641  0.5683
O  0.7359  0.2641  0.9317
O  0.8181  0.7190  0.2500